A geometry-optimized LiLaEr structure. Source: Alexandria via LeMat-Bulk, functional PBE.

The energy of formation is 0.0994 eV per atom. As for the size of the total moment: 0.0 μB/cell.

Cell: 6.0930 3.6041 16.1952 Å, 90.00 91.64 90.00°
Last column: nearest neighbours and their distance in Å.
Space group C2/m (No. 12)
Unique sites:
Li1 0.1684 0.0000 0.0640 (multiplicity 4)  3 Li 2.87-2.94
La1 0.1740 0.0000 0.4025 (multiplicity 4)  3 Er 3.54-3.58, 9 La 3.54-3.85
Er1 0.0069 0.5000 0.2237 (multiplicity 4)  3 Li 3.26-3.32, 3 La 3.54-3.58, 6 Er 3.54-3.60